# 1
Material: BaHg8Pb2
Method: DFT, PBE-GGA
State: relaxed

Cell: 7.575 7.575 6.433 Å, 90.00 90.00 90.00°
Positions (direct):
Ba  0.000  0.000  0.000
Hg  0.294  0.294  0.235
Hg  0.294  0.294  0.765
Hg  0.294  0.706  0.235
Hg  0.294  0.706  0.765
Hg  0.706  0.294  0.235
Hg  0.706  0.294  0.765
Hg  0.706  0.706  0.235
Hg  0.706  0.706  0.765
Pb  0.000  0.500  0.500
Pb  0.500  0.000  0.500

energy: -12.36 eV per formula unit
theoretical density: 9.7 g cm⁻³

# 2
Material: ZnCrCoRe
Method: DFT, PBE-GGA
State: relaxed

Cell: 4.166 4.166 4.166 Å, 60.00 60.00 60.00°
Positions (direct):
Zn  0.000  0.000  0.000
Cr  0.750  0.750  0.750
Co  0.250  0.250  0.250
Re  0.500  0.500  0.500

energy: -29.73 eV per formula unit
theoretical density: 11.8 g cm⁻³

# 3
Material: Tb4TaN5
Method: DFT, PBE-GGA
State: relaxed

Cell: 5.896 5.896 5.896 Å, 100.01 100.01 130.73°
Positions (direct):
Tb  0.102  0.698  0.800
Tb  0.302  0.102  0.404
Tb  0.698  0.898  0.596
Tb  0.898  0.302  0.200
Ta  0.458  0.458  0.000
N  0.054  0.054  0.000
N  0.222  0.405  0.633
N  0.405  0.772  0.183
N  0.590  0.222  0.817
N  0.772  0.590  0.367

energy relative to the elements, uncorrected: -1.537 eV per atom
theoretical density: 10.4 g cm⁻³

# 4
Material: CsBaMg14
Method: DFT, PBE-GGA
State: relaxed

Cell: 7.000 7.000 10.718 Å, 90.00 90.00 120.00°
Positions (direct):
Cs  0.000  0.000  0.000
Ba  0.000  0.000  0.500
Mg  0.010  0.505  0.000
Mg  0.012  0.506  0.500
Mg  0.184  0.367  0.254
Mg  0.184  0.367  0.746
Mg  0.184  0.816  0.254
Mg  0.184  0.816  0.746
Mg  0.494  0.506  0.500
Mg  0.494  0.988  0.500
Mg  0.495  0.505  0.000
Mg  0.495  0.990  0.000
Mg  0.633  0.816  0.254
Mg  0.633  0.816  0.746
Mg  0.667  0.333  0.254
Mg  0.667  0.333  0.746

energy: -22.16 eV per formula unit
theoretical density: 2.2 g cm⁻³

# 5
Material: Li2MgSeO4
Method: DFT, PBE-GGA
State: relaxed

Cell: 5.652 5.652 5.652 Å, 131.75 131.75 70.62°
Positions (direct):
Li  0.000  0.000  0.000
Li  0.750  0.250  0.500
Mg  0.500  0.500  0.000
Se  0.250  0.750  0.500
O  0.135  0.628  0.016
O  0.372  0.388  0.507
O  0.612  0.119  0.984
O  0.881  0.865  0.493

energy relative to the elements, uncorrected: -1.572 eV per atom
theoretical density: 3.1 g cm⁻³

# 6
Material: NbSbP2
Method: DFT, PBE-GGA
State: relaxed

Cell: 7.133 7.133 7.133 Å, 130.56 130.56 72.51°
Positions (direct):
Nb  0.000  0.000  0.000
Nb  0.750  0.250  0.500
Sb  0.250  0.750  0.500
Sb  0.500  0.500  0.000
P  0.087  0.625  0.962
P  0.375  0.337  0.462
P  0.663  0.125  0.038
P  0.875  0.913  0.538

energy relative to the elements, uncorrected: 0.184 eV per atom
theoretical density: 4.5 g cm⁻³

# 7
Material: KRbCuH3
Method: DFT, PBE-GGA
State: relaxed

Cell: 5.915 5.915 8.406 Å, 109.45 109.45 75.60°
Positions (direct):
K  0.240  0.760  0.000
K  0.760  0.240  0.000
Rb  0.200  0.200  0.535
Rb  0.800  0.800  0.465
Cu  0.394  0.394  0.272
Cu  0.606  0.606  0.728
H  0.204  0.204  0.199
H  0.294  0.681  0.302
H  0.319  0.706  0.698
H  0.681  0.294  0.302
H  0.706  0.319  0.698
H  0.796  0.796  0.801

energy: -16.67 eV per formula unit
theoretical density: 2.5 g cm⁻³

# 8
Material: K3H5S2
Method: DFT, PBE-GGA
State: relaxed

Cell: 9.260 9.260 9.260 Å, 133.92 65.29 136.42°
Positions (direct):
K  0.223  0.708  0.931
K  0.250  0.250  0.000
K  0.277  0.208  0.485
K  0.723  0.792  0.515
K  0.750  0.750  0.000
K  0.777  0.292  0.069
H  0.065  0.540  0.605
H  0.074  0.250  0.824
H  0.250  0.750  0.500
H  0.426  0.250  0.176
H  0.435  0.040  0.475
H  0.565  0.960  0.525
H  0.574  0.750  0.824
H  0.750  0.250  0.500
H  0.926  0.750  0.176
H  0.935  0.460  0.395
S  0.084  0.359  0.443
S  0.416  0.859  0.275
S  0.584  0.141  0.725
S  0.916  0.641  0.557

energy: -28.94 eV per formula unit
theoretical density: 1.6 g cm⁻³

# 9
Material: Cu2TcSe
Method: DFT, PBE-GGA
State: relaxed

Cell: 8.802 8.802 8.802 Å, 18.29 18.29 18.29°
Positions (direct):
Cu  0.248  0.248  0.248
Cu  0.752  0.752  0.752
Tc  0.500  0.500  0.500
Se  0.000  0.000  0.000

energy relative to the elements, uncorrected: 0.421 eV per atom
theoretical density: 8.6 g cm⁻³

# 10
Material: Th2PaTc2
Method: DFT, PBE-GGA
State: relaxed

Cell: 5.952 5.952 8.017 Å, 99.97 99.97 60.48°
Positions (direct):
Th  0.028  0.274  0.153
Th  0.274  0.028  0.653
Th  0.726  0.972  0.347
Th  0.972  0.726  0.847
Pa  0.366  0.634  0.250
Pa  0.634  0.366  0.750
Tc  0.243  0.503  0.490
Tc  0.497  0.757  0.010
Tc  0.503  0.243  0.990
Tc  0.757  0.497  0.510

energy: -46.31 eV per formula unit
theoretical density: 12.2 g cm⁻³

# 11
Material: Ba2RhSe
Method: DFT, PBE-GGA
State: relaxed

Cell: 6.850 6.850 6.850 Å, 141.64 141.64 55.36°
Positions (direct):
Ba  0.000  0.000  0.000
Ba  0.750  0.250  0.500
Rh  0.250  0.750  0.500
Se  0.500  0.500  0.000

energy relative to the elements, uncorrected: -0.581 eV per atom
theoretical density: 6.2 g cm⁻³

# 12
Material: La2CuNi3As4
Method: DFT, PBE-GGA
State: relaxed

Cell: 4.286 4.286 9.561 Å, 90.00 90.00 90.00°
Positions (direct):
La  0.000  0.500  0.249
La  0.500  0.000  0.751
Cu  0.500  0.500  0.000
Ni  0.000  0.000  0.000
Ni  0.000  0.500  0.614
Ni  0.500  0.000  0.386
As  0.000  0.000  0.500
As  0.000  0.500  0.867
As  0.500  0.000  0.133
As  0.500  0.500  0.500

energy: -58.31 eV per formula unit
theoretical density: 7.7 g cm⁻³